A plane-wave DFT calculation with GGA-PBE was carried out for a relaxed Tb4Si6Os7 crystal.

Results
Formation energy (no corrections) (meV per atom): -536
DFT total energy (eV per formula unit): -138.776

Lattice parameters (Å, degrees): 8.272 8.272 8.272 90.00 90.00 90.00
Space group Im-3m (No. 229)
Symmetry-distinct sites (fractional):
Tb (0.250, 0.250, 0.250)
Si (0.000, 0.000, 0.317)
Os (0.000, 0.000, 0.000)
Os (0.000, 0.250, 0.500)